Record 1
# Dy2Ho4ThSc

Dy2Ho4ThSc after structural relaxation (PBE, the Alexandria database).

a = 5.828 Å, b = 9.284 Å, c = 5.820 Å
α = 51.15°, β = 90.00°, γ = 90.00°
Fractional positions:
Dy1 0.000 0.000 0.000
Dy2 0.500 0.000 0.500
Ho1 0.000 0.746 0.753
Ho2 0.000 0.254 0.247
Ho3 0.500 0.746 0.254
Ho4 0.500 0.254 0.746
Th1 0.000 0.500 0.500
Sc1 0.500 0.500 0.000

Results
Total magnetic moment ... 0.0 μB per formula unit
DFT formation energy ... 0.15 eV/atom
E_tot ... -5.012 eV/atom

Record 2
# Dy2Ho5ThSc

Dy2Ho5ThSc after structural relaxation (PBE, the Alexandria database).

a = 5.617 Å, b = 11.180 Å, c = 9.403 Å
α = 90.00°, β = 90.00°, γ = 104.55°
Fractional positions:
Dy1 0.885 0.770 0.821
Dy2 0.133 0.267 0.709
Dy3 0.115 0.230 0.321
Dy4 0.867 0.733 0.209
Ho1 0.395 0.790 0.045
Ho2 0.731 0.463 0.827
Ho3 0.471 0.942 0.748
Ho4 0.304 0.608 0.719
Ho5 0.987 0.974 0.514
Ho6 0.605 0.210 0.545
Ho7 0.269 0.537 0.327
Ho8 0.529 0.058 0.248
Ho9 0.696 0.392 0.219
Ho10 0.013 0.026 0.014
Th1 0.599 0.198 0.927
Th2 0.401 0.802 0.427
Sc1 0.810 0.619 0.515
Sc2 0.190 0.381 0.015

Results
Total magnetic moment ... 0.0 μB per formula unit
DFT formation energy ... 0.17 eV/atom
E_tot ... -4.922 eV/atom

Record 3
# DyHo2ThSc

DyHo2ThSc after structural relaxation (PBE, the Alexandria database).

a = 5.630 Å, b = 9.337 Å, c = 6.125 Å
α = 109.15°, β = 90.00°, γ = 90.00°
Fractional positions:
Dy1 0.250 0.692 0.264
Dy2 0.750 0.308 0.736
Ho1 0.750 0.898 0.538
Ho2 0.750 0.696 0.922
Ho3 0.250 0.102 0.462
Ho4 0.250 0.304 0.078
Th1 0.250 0.900 0.871
Th2 0.750 0.100 0.129
Sc1 0.250 0.506 0.665
Sc2 0.750 0.494 0.335

Results
Total magnetic moment ... 0.0 μB per formula unit
DFT formation energy ... 0.04 eV/atom
E_tot ... -5.459 eV/atom

Record 4
# Dy3Ho6ThSc2

Dy3Ho6ThSc2 after structural relaxation (PBE, the Alexandria database).

a = 6.032 Å, b = 6.032 Å, c = 11.628 Å
α = 94.97°, β = 94.97°, γ = 120.00°
Fractional positions:
Dy1 0.167 0.833 0.500
Dy2 0.833 0.167 0.500
Dy3 0.500 0.500 0.500
Ho1 0.917 0.584 0.754
Ho2 0.750 0.750 0.246
Ho3 0.083 0.416 0.246
Ho4 0.584 0.917 0.754
Ho5 0.250 0.250 0.754
Ho6 0.416 0.083 0.246
Th1 0.000 0.000 0.000
Sc1 0.333 0.667 0.000
Sc2 0.667 0.333 0.000

Results
Total magnetic moment ... 0.0 μB per formula unit
DFT formation energy ... 0.04 eV/atom
E_tot ... -5.076 eV/atom

Record 5
# Dy6Ho3Th2Sc

Dy6Ho3Th2Sc after structural relaxation (PBE, the Alexandria database).

a = 6.090 Å, b = 6.090 Å, c = 11.712 Å
α = 94.99°, β = 94.99°, γ = 119.99°
Fractional positions:
Dy1 0.918 0.585 0.753
Dy2 0.749 0.749 0.247
Dy3 0.082 0.415 0.247
Dy4 0.585 0.918 0.753
Dy5 0.251 0.251 0.753
Dy6 0.415 0.082 0.247
Ho1 0.167 0.833 0.500
Ho2 0.833 0.167 0.500
Ho3 0.500 0.500 0.500
Th1 0.334 0.666 0.000
Th2 0.666 0.334 0.000
Sc1 0.000 0.000 0.000

Results
Total magnetic moment ... 0.0 μB per formula unit
DFT formation energy ... 0.03 eV/atom
E_tot ... -5.181 eV/atom

Record 6
# DyHo2ThSc4

DyHo2ThSc4 after structural relaxation (PBE, the Alexandria database).

a = 4.934 Å, b = 4.938 Å, c = 10.379 Å
α = 61.60°, β = 90.00°, γ = 90.00°
Fractional positions:
Dy1 0.500 0.500 0.000
Ho1 0.000 0.000 0.000
Ho2 0.500 0.000 0.500
Th1 0.000 0.500 0.500
Sc1 0.000 0.752 0.748
Sc2 0.000 0.248 0.252
Sc3 0.500 0.748 0.252
Sc4 0.500 0.252 0.748

Results
Total magnetic moment ... 0.0 μB per formula unit
DFT formation energy ... 0.04 eV/atom
E_tot ... -5.772 eV/atom

Record 7
# DyHoThSc

DyHoThSc after structural relaxation (PBE, the Alexandria database).

a = 5.532 Å, b = 5.532 Å, c = 5.532 Å
α = 60.00°, β = 60.00°, γ = 60.00°
Fractional positions:
Sc1 0.000 0.000 0.000
Ho1 0.500 0.500 0.500
Th1 0.750 0.750 0.750
Dy1 0.250 0.250 0.250

Results
Total magnetic moment ... 0.0 μB per formula unit
DFT formation energy ... 0.11 eV/atom
E_tot ... -5.621 eV/atom

Record 8
# Dy2HoThSc

Dy2HoThSc after structural relaxation (PBE, the Alexandria database).

a = 4.974 Å, b = 7.766 Å, c = 7.826 Å
α = 90.30°, β = 90.00°, γ = 90.00°
Fractional positions:
Dy1 0.750 0.843 0.552
Dy2 0.750 0.653 0.950
Dy3 0.250 0.157 0.448
Dy4 0.250 0.347 0.050
Ho1 0.250 0.751 0.255
Ho2 0.750 0.249 0.745
Th1 0.250 0.946 0.852
Th2 0.750 0.054 0.148
Sc1 0.250 0.549 0.647
Sc2 0.750 0.451 0.353

Results
Total magnetic moment ... 0.0 μB per formula unit
DFT formation energy ... 0.05 eV/atom
E_tot ... -5.460 eV/atom

Record 9
# Dy3Ho6Th2Sc

Dy3Ho6Th2Sc after structural relaxation (PBE, the Alexandria database).

a = 6.084 Å, b = 6.084 Å, c = 11.684 Å
α = 95.00°, β = 95.00°, γ = 119.99°
Fractional positions:
Dy1 0.166 0.834 0.500
Dy2 0.834 0.166 0.500
Dy3 0.500 0.500 0.500
Ho1 0.918 0.585 0.753
Ho2 0.749 0.749 0.247
Ho3 0.082 0.415 0.247
Ho4 0.585 0.918 0.753
Ho5 0.251 0.251 0.753
Ho6 0.415 0.082 0.247
Th1 0.333 0.667 0.000
Th2 0.667 0.333 0.000
Sc1 0.000 0.000 0.000

Results
Total magnetic moment ... 0.0 μB per formula unit
DFT formation energy ... 0.03 eV/atom
E_tot ... -5.178 eV/atom

Record 10
# Dy6HoTh2Sc3

Dy6HoTh2Sc3 after structural relaxation (PBE, the Alexandria database).

a = 6.053 Å, b = 6.053 Å, c = 11.478 Å
α = 95.04°, β = 95.04°, γ = 119.98°
Fractional positions:
Dy1 0.914 0.578 0.743
Dy2 0.750 0.750 0.257
Dy3 0.086 0.422 0.257
Dy4 0.578 0.914 0.743
Dy5 0.250 0.250 0.743
Dy6 0.422 0.086 0.257
Ho1 0.000 0.000 0.000
Th1 0.333 0.667 0.000
Th2 0.667 0.333 0.000
Sc1 0.167 0.833 0.500
Sc2 0.833 0.167 0.500
Sc3 0.500 0.500 0.500

Results
Total magnetic moment ... 0.0 μB per formula unit
DFT formation energy ... 0.06 eV/atom
E_tot ... -5.447 eV/atom

Record 11
# DyHoThSc

DyHoThSc after structural relaxation (PBE, the Alexandria database).

a = 3.528 Å, b = 3.528 Å, c = 11.258 Å
α = 90.00°, β = 99.01°, γ = 120.00°
Fractional positions:
Dy1 0.965 0.380 0.360
Ho1 0.472 0.134 0.621
Th1 0.307 0.551 0.874
Sc1 0.134 0.965 0.115

Results
Total magnetic moment ... 0.0 μB per formula unit
DFT formation energy ... 0.02 eV/atom
E_tot ... -5.708 eV/atom

Record 12
# Dy2Ho2ThSc5

Dy2Ho2ThSc5 after structural relaxation (PBE, the Alexandria database).

a = 5.128 Å, b = 10.543 Å, c = 10.543 Å
α = 90.00°, β = 90.00°, γ = 90.00°
Fractional positions:
Dy1 0.000 0.665 0.165
Dy2 0.000 0.335 0.835
Dy3 0.000 0.165 0.335
Dy4 0.000 0.835 0.665
Ho1 0.000 0.135 0.635
Ho2 0.000 0.865 0.365
Ho3 0.000 0.635 0.865
Ho4 0.000 0.365 0.135
Th1 0.000 0.000 0.000
Th2 0.000 0.500 0.500
Sc1 0.500 0.184 0.106
Sc2 0.500 0.816 0.894
Sc3 0.500 0.106 0.816
Sc4 0.500 0.684 0.394
Sc5 0.500 0.894 0.184
Sc6 0.500 0.316 0.606
Sc7 0.500 0.606 0.684
Sc8 0.500 0.394 0.316
Sc9 0.500 0.500 0.000
Sc10 0.500 0.000 0.500

Results
Total magnetic moment ... 0.0 μB per formula unit
DFT formation energy ... 0.21 eV/atom
E_tot ... -5.529 eV/atom

Record 13
# DyHo6Th2Sc3

DyHo6Th2Sc3 after structural relaxation (PBE, the Alexandria database).

a = 6.042 Å, b = 6.042 Å, c = 11.446 Å
α = 95.04°, β = 95.04°, γ = 119.97°
Fractional positions:
Dy1 0.000 0.000 0.000
Ho1 0.914 0.578 0.743
Ho2 0.750 0.750 0.257
Ho3 0.086 0.422 0.257
Ho4 0.578 0.914 0.743
Ho5 0.250 0.250 0.743
Ho6 0.422 0.086 0.257
Th1 0.333 0.667 0.000
Th2 0.667 0.333 0.000
Sc1 0.166 0.834 0.500
Sc2 0.834 0.166 0.500
Sc3 0.500 0.500 0.500

Results
Total magnetic moment ... 0.0 μB per formula unit
DFT formation energy ... 0.05 eV/atom
E_tot ... -5.439 eV/atom

Record 14
# Dy5HoThSc2

Dy5HoThSc2 after structural relaxation (PBE, the Alexandria database).

a = 5.597 Å, b = 10.984 Å, c = 9.389 Å
α = 90.00°, β = 90.00°, γ = 104.76°
Fractional positions:
Dy1 0.390 0.780 0.043
Dy2 0.734 0.468 0.833
Dy3 0.469 0.938 0.746
Dy4 0.305 0.610 0.715
Dy5 0.990 0.981 0.514
Dy6 0.610 0.220 0.543
Dy7 0.266 0.532 0.333
Dy8 0.531 0.062 0.246
Dy9 0.695 0.390 0.215
Dy10 0.010 0.019 0.014
Ho1 0.597 0.194 0.921
Ho2 0.403 0.806 0.421
Th1 0.816 0.631 0.523
Th2 0.184 0.369 0.023
Sc1 0.887 0.774 0.822
Sc2 0.135 0.269 0.707
Sc3 0.113 0.226 0.322
Sc4 0.865 0.731 0.207

Results
Total magnetic moment ... 0.0 μB per formula unit
DFT formation energy ... 0.17 eV/atom
E_tot ... -5.123 eV/atom

Record 15
# DyHoTh2Sc

DyHoTh2Sc after structural relaxation (PBE, the Alexandria database).

a = 3.448 Å, b = 8.351 Å, c = 11.543 Å
α = 109.81°, β = 90.00°, γ = 90.00°
Fractional positions:
Dy1 0.250 0.200 0.555
Dy2 0.750 0.800 0.445
Ho1 0.250 0.949 0.230
Ho2 0.750 0.051 0.770
Th1 0.750 0.585 0.646
Th2 0.250 0.415 0.354
Th3 0.750 0.558 0.138
Th4 0.250 0.442 0.862
Sc1 0.250 0.188 0.043
Sc2 0.750 0.812 0.957

Results
Total magnetic moment ... 0.0 μB per formula unit
DFT formation energy ... 0.15 eV/atom
E_tot ... -5.921 eV/atom

Record 16
# DyHoTh2Sc5

DyHoTh2Sc5 after structural relaxation (PBE, the Alexandria database).

a = 8.438 Å, b = 8.438 Å, c = 9.351 Å
α = 116.82°, β = 116.82°, γ = 90.00°
Fractional positions:
Dy1 0.250 0.250 0.500
Dy2 0.750 0.750 0.500
Ho1 0.250 0.750 0.500
Ho2 0.750 0.250 0.500
Th1 0.124 0.376 0.000
Th2 0.624 0.124 0.000
Th3 0.376 0.876 0.000
Th4 0.876 0.624 0.000
Sc1 0.930 0.430 0.280
Sc2 0.651 0.151 0.720
Sc3 0.070 0.570 0.720
Sc4 0.151 0.070 0.720
Sc5 0.570 0.651 0.720
Sc6 0.849 0.930 0.280
Sc7 0.430 0.349 0.280
Sc8 0.349 0.849 0.280
Sc9 0.500 0.500 0.000
Sc10 0.000 0.000 0.000

Results
Total magnetic moment ... 0.0 μB per formula unit
DFT formation energy ... 0.35 eV/atom
E_tot ... -5.837 eV/atom

Record 17
# DyHoScTi

DyHoScTi after structural relaxation (PBE, the Alexandria database).

a = 5.271 Å, b = 5.271 Å, c = 5.271 Å
α = 60.00°, β = 60.00°, γ = 60.00°
Site moments in Bohr magnetons follow the coordinates.
Fractional positions:
Sc1 0.000 0.000 0.000  0.09
Ti1 0.500 0.500 0.500  1.33
Ho1 0.750 0.750 0.750  0.28
Dy1 0.250 0.250 0.250  0.27

Results
Total magnetic moment ... 2.6 μB per formula unit
DFT formation energy ... 0.21 eV/atom
E_tot ... -5.637 eV/atom

Record 18
# DyHoScTl

DyHoScTl after structural relaxation (PBE, the Alexandria database).

a = 4.718 Å, b = 4.757 Å, c = 4.748 Å
α = 90.00°, β = 90.00°, γ = 90.00°
Site moments in Bohr magnetons follow the coordinates.
Fractional positions:
Dy1 0.500 0.000 0.500  0.26
Ho1 0.500 0.500 0.000  0.26
Sc1 0.000 0.000 0.000  0.34
Tl1 0.000 0.500 0.500  -0.01

Results
Total magnetic moment ... 1.1 μB per formula unit
DFT formation energy ... -0.17 eV/atom
E_tot ... -4.642 eV/atom

Record 19
# DyHoScTl

DyHoScTl after structural relaxation (PBE, the Alexandria database).

a = 5.354 Å, b = 5.354 Å, c = 5.354 Å
α = 60.00°, β = 60.00°, γ = 60.00°
Site moments in Bohr magnetons follow the coordinates.
Fractional positions:
Sc1 0.000 0.000 0.000  0.46
Tl1 0.500 0.500 0.500  0.00
Ho1 0.250 0.250 0.250  0.28
Dy1 0.750 0.750 0.750  0.27

Results
Total magnetic moment ... 1.4 μB per formula unit
DFT formation energy ... -0.05 eV/atom
E_tot ... -4.522 eV/atom

Record 20
# Dy3HoTmSc

Dy3HoTmSc after structural relaxation (PBE, the Alexandria database).

a = 3.484 Å, b = 10.459 Å, c = 10.434 Å
α = 109.41°, β = 90.00°, γ = 90.00°
Fractional positions:
Dy1 0.250 0.629 0.462
Dy2 0.750 0.878 0.044
Dy3 0.750 0.371 0.209
Dy4 0.750 0.371 0.538
Dy5 0.250 0.629 0.791
Dy6 0.250 0.122 0.956
Ho1 0.250 0.121 0.625
Ho2 0.750 0.879 0.375
Tm1 0.250 0.625 0.125
Tm2 0.750 0.375 0.875
Sc1 0.750 0.876 0.709
Sc2 0.250 0.124 0.291

Results
Total magnetic moment ... 0.0 μB per formula unit
DFT formation energy ... 0.04 eV/atom
E_tot ... -4.828 eV/atom